Compound: AsAuBr
Source: Alexandria via LeMat-Bulk
Functional: PBE
Structure: relaxed

Output
- E_form (uncorrected): 0.087 eV/atom
- Distance to the lowest polymorph of the same formula: 215.7 meV per atom
- Calculated total energy: -3.112 eV/atom
- ρ: 8.32 g cm⁻³

Cell and atoms, written as POSCAR:
```
AsAuBr
1.0
3.859 0.000 0.000
-1.930 3.342 0.000
0.000 0.000 5.443
As Au Br
1 1 1
direct
0.000 0.000 0.000
0.667 0.333 0.242
0.333 0.667 0.595
```